BeNiCl2, optimized geometry, DFT PBE; relative energy among the computed polymorphs = 517 meV per atom; raw formation energy = 0.2 eV/f.u.; space group = Cmmm, No. 65; E_tot = -12.97 eV for the cell shown; ρ = 3.6 g cm⁻³
1.0
3.476 0.004 0.000
-2.210 2.683 0.000
0.000 0.000 6.925
Ni Be Cl
1 1 2
direct
0.500 0.500 0.250
0.500 0.500 0.750
0.000 0.000 0.969
0.000 0.000 0.531



Rb3FeI, optimized geometry, DFT PBE; relative energy among the computed polymorphs = 0 meV per atom; raw formation energy = 1.2 eV/f.u.; space group = Pm-3m, No. 221; E_tot = -11.74 eV for the cell shown; ρ = 2.1 g cm⁻³
1.0
6.996 0.000 0.000
0.000 6.996 0.000
0.000 0.000 6.996
I Fe Rb
1 1 3
direct
0.000 0.000 0.000
0.500 0.500 0.500
0.000 0.500 0.000
0.000 0.000 0.500
0.500 0.000 0.000



Tb5ErTm, optimized geometry, DFT PBE; relative energy among the computed polymorphs = 0 meV per atom; space group = C2/c, No. 15; E_tot = -61.71 eV for the cell shown; ρ = 8.5 g cm⁻³
1.0
-4.150 -2.506 -4.652
1.211 -6.014 -2.741
-7.997 -10.274 3.575
Tb Er Tm
10 2 2
direct
0.159 0.390 0.757
0.661 0.682 0.498
0.390 0.159 0.257
0.167 0.833 0.750
0.318 0.339 0.002
0.682 0.661 0.998
0.833 0.167 0.250
0.610 0.841 0.743
0.339 0.318 0.502
0.841 0.610 0.243
0.721 0.279 0.750
0.279 0.721 0.250
0.000 0.000 0.000
0.000 0.000 0.500



SiTeIr2, optimized geometry, DFT PBE; relative energy among the computed polymorphs = 215 meV per atom; raw formation energy = 0.0 eV/f.u.; space group = R-3m, No. 166; E_tot = -26.24 eV for the cell shown; ρ = 13.5 g cm⁻³
1.0
-5.899 -5.031 4.135
-3.602 -6.939 4.010
-3.761 -4.935 6.221
Ir Si Te
2 1 1
direct
0.984 0.984 0.984
0.516 0.516 0.516
0.250 0.250 0.250
0.750 0.750 0.750



Li3MnGe, optimized geometry, DFT PBE; space group = Pm-3m, No. 221; E_tot = -13.89 eV for the cell shown; ρ = 2.3 g cm⁻³
1.0
-1.210 -3.068 -3.445
4.310 0.518 -1.975
1.645 -3.615 2.641
Ge Mn Li
1 1 3
direct
0.500 0.500 0.500
0.000 0.000 0.000
0.000 0.500 0.000
0.000 0.000 0.500
0.500 0.000 0.000



KIr2Pd2, optimized geometry, DFT PBE; space group = P4/mbm, No. 127; E_tot = -55.39 eV for the cell shown; ρ = 11.8 g cm⁻³
1.0
-2.870 -4.133 6.422
-3.913 -5.095 -5.028
2.163 -1.600 -0.063
K Ir Pd
2 4 4
direct
0.000 0.000 0.000
0.500 0.500 0.000
0.389 0.889 0.000
0.889 0.611 0.000
0.611 0.111 0.000
0.111 0.389 0.000
0.186 0.686 0.500
0.686 0.814 0.500
0.814 0.314 0.500
0.314 0.186 0.500



Q: Among the records above, which one has the highest E_tot?
A: Rb3FeI